(w)
## NaSrCa (PBE-GGA)

Data for an optimized crystal structure of NaSrCa.

Unit cell a=4.0598 b=4.0598 c=15.8486 alpha=90.05 beta=90.05 gamma=86.89
With the nearest neighbours (Å) after each atom.
Fractional positions:
Na1 0.2496 0.2496 0.0640  4 Na 3.45-3.58, 4 Ca 3.70-3.83
Na2 0.7504 0.7504 0.9360  4 Na 3.45-3.58, 4 Ca 3.70-3.83
Sr1 0.2490 0.2490 0.3999  4 Ca 4.02-4.13, 8 Sr 4.06-4.33
Sr2 0.7510 0.7510 0.6001  4 Ca 4.02-4.13, 8 Sr 4.06-4.33
Ca1 0.2518 0.2518 0.7824  4 Na 3.70-3.83, 4 Sr 4.02-4.13, 4 Ca 4.06
Ca2 0.7482 0.7482 0.2176  4 Na 3.70-3.83, 4 Sr 4.02-4.13, 4 Ca 4.06

***

(x)
## NaSrCa (PBE-GGA)

Data for an optimized crystal structure of NaSrCa.

Unit cell a=4.0328 b=4.0342 c=19.4857 alpha=84.19 beta=84.16 gamma=60.10
With the nearest neighbours (Å) after each atom.
Fractional positions:
Na1 0.0000 0.0000 0.0000  9 Na 3.76-4.04, 3 Sr 4.02-4.03
Na2 0.3868 0.3905 0.8464  9 Na 3.76-4.04, 3 Sr 4.02-4.03
Sr1 0.6074 0.6088 0.1695  3 Na 4.02-4.03, 6 Sr 4.03-4.04, 3 Ca 4.05-4.07
Sr2 0.7762 0.7827 0.6769  3 Na 4.02-4.03, 6 Sr 4.03-4.04, 3 Ca 4.06-4.07
Ca1 0.4969 0.5023 0.5051  9 Ca 3.93-4.04, 3 Sr 4.06-4.07
Ca2 0.8854 0.8897 0.3412  9 Ca 3.93-4.04, 3 Sr 4.05-4.07

***

(y)
## NaSrCa (PBE-GGA)

Data for an optimized crystal structure of NaSrCa.

Unit cell a=6.3029 b=6.3029 c=3.9591 alpha=90.00 beta=90.00 gamma=120.00
With the nearest neighbours (Å) after each atom.
Fractional positions:
Na1 0.0000 0.0000 0.0000  3 Ca 3.72, 3 Sr 3.91, 2 Na 3.96
Sr1 0.3333 0.6667 0.6401  3 Na 3.91, 2 Sr 3.96, 6 Ca 4.04-4.25
Ca1 0.6667 0.3333 0.1960  3 Na 3.72, 2 Ca 3.96, 3 Sr 4.04

***

The data favor (w); the next most stable structure lies 0.005 eV/atom above it.

***

(w)
## NaSrCa (PBE-GGA)

Data for an optimized crystal structure of NaSrCa.

Unit cell a=7.8358 b=7.8358 c=7.8358 alpha=148.25 beta=148.25 gamma=45.52
With the nearest neighbours (Å) after each atom.
Fractional positions:
Na1 0.0000 0.0000 0.0000  4 Ca 3.69, 4 Sr 3.89
Sr1 0.3318 0.3318 0.0000  4 Na 3.89, 4 Ca 4.06, 4 Sr 4.29
Ca1 0.6454 0.6454 0.0000  4 Na 3.69, 4 Sr 4.06

***

(x)
## NaSrCa (PBE-GGA)

Data for an optimized crystal structure of NaSrCa.

Unit cell a=7.2881 b=7.2881 c=7.7272 alpha=118.78 beta=118.78 gamma=50.13
With the nearest neighbours (Å) after each atom.
Fractional positions:
Na1 0.1452 0.1452 0.0799  1 Na 3.35, 2 Ca 3.70
Na2 0.8548 0.8548 0.9201  1 Na 3.35, 2 Ca 3.70
Sr1 0.1790 0.1790 0.6048  4 Na 3.84-3.93, 6 Ca 4.09-4.28, 1 Sr 4.10
Sr2 0.8210 0.8210 0.3952  4 Na 3.84-3.93, 6 Ca 4.09-4.28, 1 Sr 4.10
Ca1 0.4705 0.4705 0.2277  3 Na 3.70-3.81, 2 Ca 3.85-3.99, 3 Sr 4.09-4.13
Ca2 0.5295 0.5295 0.7723  3 Na 3.70-3.81, 2 Ca 3.85-3.99, 3 Sr 4.09-4.13

***

The data favor (w); the next most stable structure lies 0.006 eV/atom above it.

***

(w)
## NaSr5Ca (PBE-GGA)

Data for an optimized crystal structure of NaSr5Ca.

Unit cell a=7.8874 b=7.8874 c=14.6779 alpha=103.11 beta=103.11 gamma=56.81
With the nearest neighbours (Å) after each atom.
Fractional positions:
Na1 0.0000 0.0000 0.0000  2 Sr 3.64
Na2 0.0000 0.0000 0.5000  2 Sr 3.64
Sr1 0.2172 0.2445 0.6869  1 Na 3.64, 4 Sr 3.95-4.05, 2 Ca 4.03-4.06
Sr2 0.2417 0.7583 0.7500  2 Ca 3.70-3.80, 4 Sr 4.04-4.05, 2 Na 4.09
Sr3 0.2445 0.2172 0.1869  1 Na 3.64, 4 Sr 3.95-4.05, 2 Ca 4.03-4.06
Sr4 0.3342 0.3524 0.9632  5 Sr 3.95-4.37, 2 Na 4.24-4.36
Sr5 0.3524 0.3342 0.4632  5 Sr 3.95-4.37, 2 Na 4.24-4.36
Sr6 0.6476 0.6658 0.5368  5 Sr 3.95-4.37, 2 Na 4.24-4.36
Sr7 0.6658 0.6476 0.0368  5 Sr 3.95-4.37, 2 Na 4.24-4.36
Sr8 0.7555 0.7828 0.8131  1 Na 3.64, 4 Sr 3.95-4.05, 2 Ca 4.03-4.06
Sr9 0.7583 0.2417 0.2500  2 Ca 3.70-3.80, 4 Sr 4.04-4.05, 2 Na 4.09
Sr10 0.7828 0.7555 0.3131  1 Na 3.64, 4 Sr 3.95-4.05, 2 Ca 4.03-4.06
Ca1 0.2652 0.7348 0.2500  6 Sr 3.70-4.06
Ca2 0.7348 0.2652 0.7500  6 Sr 3.70-4.06

***

(x)
## NaSr5Ca (PBE-GGA)

Data for an optimized crystal structure of NaSr5Ca.

Unit cell a=6.5375 b=6.5375 c=9.0714 alpha=90.00 beta=90.00 gamma=90.00
With the nearest neighbours (Å) after each atom.
Fractional positions:
Na1 0.0000 0.0000 0.0000  8 Sr 4.04
Sr1 0.0000 0.5000 0.2621  2 Ca 3.92, 2 Na 4.04, 3 Sr 4.04-4.32
Sr2 0.0000 0.5000 0.7379  2 Ca 3.92, 2 Na 4.04, 3 Sr 4.04-4.32
Sr3 0.5000 0.0000 0.2621  2 Ca 3.92, 2 Na 4.04, 3 Sr 4.04-4.32
Sr4 0.5000 0.0000 0.7379  2 Ca 3.92, 2 Na 4.04, 3 Sr 4.04-4.32
Sr5 0.5000 0.5000 0.0000  8 Sr 4.04
Ca1 0.5000 0.5000 0.5000  8 Sr 3.92

***

The data favor (w); the next most stable structure lies 0.027 eV/atom above it.

***

(w)
## NaSr6Ca3 (PBE-GGA)

Data for an optimized crystal structure of NaSr6Ca3.

Unit cell a=11.6886 b=14.3834 c=6.0842 alpha=90.00 beta=90.00 gamma=90.00
With the nearest neighbours (Å) after each atom.
Fractional positions:
Na1 0.0000 0.0000 0.0000  8 Sr 3.48-3.85
Na2 0.5000 0.5000 0.5000  8 Sr 3.48-3.85
Sr1 0.0327 0.2401 0.0000  1 Na 3.48, 3 Ca 3.76-3.87
Sr2 0.1689 0.0719 0.5000  2 Na 3.77, 3 Ca 4.01-4.03, 2 Sr 4.20
Sr3 0.2061 0.3788 0.5000  1 Na 3.85, 4 Ca 4.10-4.26, 3 Sr 4.16-4.18
Sr4 0.2939 0.8788 0.0000  1 Na 3.85, 4 Ca 4.10-4.26, 3 Sr 4.16-4.18
Sr5 0.3311 0.5719 0.0000  2 Na 3.77, 3 Ca 4.01-4.03, 2 Sr 4.20
Sr6 0.4673 0.7401 0.5000  1 Na 3.48, 3 Ca 3.76-3.87
Sr7 0.5327 0.2599 0.5000  1 Na 3.48, 3 Ca 3.76-3.87
Sr8 0.6689 0.4281 0.0000  2 Na 3.77, 3 Ca 4.01-4.03, 2 Sr 4.20
Sr9 0.7061 0.1212 0.0000  1 Na 3.85, 4 Ca 4.10-4.26, 3 Sr 4.16-4.18
Sr10 0.7939 0.6212 0.5000  1 Na 3.85, 4 Ca 4.10-4.26, 3 Sr 4.16-4.18
Sr11 0.8311 0.9281 0.5000  2 Na 3.77, 3 Ca 4.01-4.03, 2 Sr 4.20
Sr12 0.9673 0.7599 0.0000  1 Na 3.48, 3 Ca 3.76-3.87
Ca1 0.0000 0.5000 0.0000  4 Sr 3.76-4.01
Ca2 0.1398 0.6700 0.5000  7 Sr 3.87-4.26, 2 Ca 4.23
Ca3 0.3602 0.1700 0.0000  7 Sr 3.87-4.26, 2 Ca 4.23
Ca4 0.5000 0.0000 0.5000  4 Sr 3.76-4.01
Ca5 0.6398 0.8300 0.0000  7 Sr 3.87-4.26, 2 Ca 4.23
Ca6 0.8602 0.3300 0.5000  7 Sr 3.87-4.26, 2 Ca 4.23

***

(x)
## NaSr6Ca3 (PBE-GGA)

Data for an optimized crystal structure of NaSr6Ca3.

Unit cell a=12.9974 b=5.7819 c=13.0814 alpha=90.00 beta=90.61 gamma=90.00
With the nearest neighbours (Å) after each atom.
Fractional positions:
Na1 0.0503 0.2500 0.4007  10 Sr 4.09-4.16, 2 Na 4.11
Na2 0.9497 0.7500 0.5993  10 Sr 4.09-4.16, 2 Na 4.11
Sr1 0.0527 0.7500 0.8985  4 Ca 4.07-4.21, 7 Sr 4.12-4.17, 1 Na 4.12
Sr2 0.1524 0.7500 0.1985  8 Sr 4.11-4.20, 2 Na 4.15, 2 Ca 4.15
Sr3 0.1527 0.2500 0.6977  5 Sr 4.07-4.20, 4 Ca 4.08-4.09, 3 Na 4.09-4.11
Sr4 0.2525 0.7500 0.5032  5 Sr 4.07-4.18, 4 Ca 4.07-4.10, 3 Na 4.12-4.14
Sr5 0.3542 0.2500 0.3029  5 Ca 4.03-4.23, 6 Sr 4.13-4.14, 1 Na 4.16
Sr6 0.4517 0.7500 0.0995  7 Ca 4.06-4.12, 5 Sr 4.10-4.14
Sr7 0.5483 0.2500 0.9005  7 Ca 4.06-4.12, 5 Sr 4.10-4.14
Sr8 0.6458 0.7500 0.6971  5 Ca 4.03-4.23, 6 Sr 4.13-4.14, 1 Na 4.16
Sr9 0.7475 0.2500 0.4968  5 Sr 4.07-4.18, 4 Ca 4.07-4.10, 3 Na 4.12-4.14
Sr10 0.8473 0.7500 0.3023  5 Sr 4.07-4.20, 4 Ca 4.08-4.09, 3 Na 4.09-4.11
Sr11 0.8476 0.2500 0.8015  8 Sr 4.11-4.20, 2 Na 4.15, 2 Ca 4.15
Sr12 0.9473 0.2500 0.1015  4 Ca 4.07-4.21, 7 Sr 4.12-4.17, 1 Na 4.12
Ca1 0.2516 0.2500 0.9947  10 Sr 4.06-4.23, 2 Ca 4.07
Ca2 0.3504 0.7500 0.8001  4 Ca 4.07-4.11, 8 Sr 4.07-4.12
Ca3 0.4514 0.2500 0.6014  8 Sr 4.03-4.10, 4 Ca 4.11-4.13
Ca4 0.5486 0.7500 0.3986  8 Sr 4.03-4.10, 4 Ca 4.11-4.13
Ca5 0.6496 0.2500 0.1999  4 Ca 4.07-4.11, 8 Sr 4.07-4.12
Ca6 0.7484 0.7500 0.0053  10 Sr 4.06-4.23, 2 Ca 4.07

***

The data favor (x); the next most stable structure lies 0.086 eV/atom above it.

***

(w)
## NaSr2Ca6 (PBE-GGA)

Data for an optimized crystal structure of NaSr2Ca6.

Unit cell a=3.9678 b=3.9678 c=29.4871 alpha=90.00 beta=90.00 gamma=120.00
With the nearest neighbours (Å) after each atom.
Fractional positions:
Na1 0.0000 0.0000 0.0000  6 Ca 3.83, 6 Na 3.97
Sr1 0.3333 0.6667 0.3254  6 Sr 3.97, 6 Ca 4.04-4.09
Sr2 0.3333 0.6667 0.6746  6 Sr 3.97, 6 Ca 4.04-4.09
Ca1 0.0000 0.0000 0.2106  9 Ca 3.89-3.97, 3 Sr 4.09
Ca2 0.0000 0.0000 0.4383  7 Ca 3.64-3.97, 3 Sr 4.04
Ca3 0.0000 0.0000 0.5617  7 Ca 3.64-3.97, 3 Sr 4.04
Ca4 0.0000 0.0000 0.7894  9 Ca 3.89-3.97, 3 Sr 4.09
Ca5 0.3333 0.6667 0.1041  3 Na 3.83, 9 Ca 3.89-3.97
Ca6 0.3333 0.6667 0.8959  3 Na 3.83, 9 Ca 3.89-3.97

***

(x)
## NaSr2Ca6 (PBE-GGA)

Data for an optimized crystal structure of NaSr2Ca6.

Unit cell a=7.9680 b=7.9680 c=7.4741 alpha=90.07 beta=90.07 gamma=59.96
With the nearest neighbours (Å) after each atom.
Fractional positions:
Na1 0.0000 0.0000 0.0000  6 Ca 3.36
Sr1 0.3336 0.3336 0.8242  12 Ca 4.11-4.41
Sr2 0.6664 0.6664 0.1758  12 Ca 4.11-4.41
Ca1 0.1753 0.6487 0.3112  1 Na 3.36, 2 Ca 3.72
Ca2 0.1759 0.1759 0.3110  1 Na 3.36, 2 Ca 3.72
Ca3 0.3513 0.8247 0.6888  1 Na 3.36, 2 Ca 3.72
Ca4 0.6487 0.1753 0.3112  1 Na 3.36, 2 Ca 3.72
Ca5 0.8241 0.8241 0.6890  1 Na 3.36, 2 Ca 3.72
Ca6 0.8247 0.3513 0.6888  1 Na 3.36, 2 Ca 3.72

***

The data favor (w); the next most stable structure lies 0.053 eV/atom above it.